The following is a DFT calculation (GGA-PBE) of a geometry-optimized Dy3Er2Tm6Pu structure.

Geometry as POSCAR:
```
Dy3Er2Tm6Pu
1.0
6.053 -0.001 -0.006
-3.026 5.243 -0.006
-0.999 -1.729 11.367
Dy Er Tm Pu
3 2 6 1
direct
0.167 0.833 0.500
0.833 0.167 0.500
0.500 0.500 0.500
0.333 0.667 0.000
0.667 0.333 0.000
0.918 0.588 0.752
0.753 0.753 0.248
0.082 0.412 0.248
0.588 0.918 0.752
0.247 0.247 0.752
0.412 0.082 0.248
0.000 0.000 0.000
```

## Properties
formation energy from the elements: 0.042 eV per atom
Fermi-level density of states: 1.993 states/eV/atom
DFT total energy: -63.6 eV/cell